Material: La2HfZnS
Method: DFT, PBE
State: relaxed

a b c (Å): 5.6384 5.6384 4.8849
angles (deg): 90.00 90.00 90.00
Last column: nearest neighbours and their distance in Å.
Space group P4/mmm (No. 123)
One atom of each set of equivalent atoms:
La 0.0000 0.5000 0.0000 (multiplicity 2)  2 Hf 2.82
Hf 0.0000 0.0000 0.0000 (multiplicity 1)  2 Zn 2.44
Zn 0.0000 0.0000 0.5000 (multiplicity 1)  2 Hf 2.44
S 0.5000 0.5000 0.5000 (multiplicity 1)  8 La 3.73, 4 Zn 3.99

Computed properties:
The magnetization is 0.00 μB per atom. Its uncorrected formation energy is 353 meV per atom.